Entry 1:
## Sn2HgAu8 (PBE)

Data for crystalline Sn2HgAu8 at its relaxed geometry.

Cell lengths 3.8024, 6.9567, 9.2010 Å; angles 100.29, 101.18, 90.45 degrees
Sites, in units of the cell vectors:
Sn: 0.1864 0.2928 0.3544
Sn: 0.8136 0.7072 0.6456
Hg: 0.5000 0.0000 0.0000
Au: 0.0234 0.3070 0.0487
Au: 0.1955 0.7044 0.4041
Au: 0.3309 0.0098 0.6675
Au: 0.4193 0.3913 0.8322
Au: 0.5807 0.6087 0.1678
Au: 0.6691 0.9902 0.3325
Au: 0.8045 0.2956 0.5959
Au: 0.9766 0.6930 0.9513

Properties
Volume (Å³ per atom): 21.3
E_form (eV per atom): -0.018
D(E_F) (states/eV/f.u.): 2.56
Energy (eV/atom): -3.156

Entry 2:
## Sn3Hg5Au12 (PBE)

Data for crystalline Sn3Hg5Au12 at its relaxed geometry.

Cell lengths 14.0951, 14.0951, 14.0951 Å; angles 109.47, 109.47, 109.47 degrees
Sites, in units of the cell vectors:
Sn: 0.1250 0.2500 0.3750
Sn: 0.1250 0.3750 0.7500
Sn: 0.2500 0.3750 0.1250
Sn: 0.2500 0.8750 0.6250
Sn: 0.3750 0.1250 0.2500
Sn: 0.3750 0.7500 0.1250
Sn: 0.6250 0.2500 0.8750
Sn: 0.6250 0.8750 0.7500
Sn: 0.7500 0.1250 0.3750
Sn: 0.7500 0.6250 0.8750
Sn: 0.8750 0.6250 0.2500
Sn: 0.8750 0.7500 0.6250
Hg: 0.0000 0.0000 0.0000
Hg: 0.0000 0.0000 0.5000
Hg: 0.0000 0.5000 0.0000
Hg: 0.0000 0.5000 0.5000
Hg: 0.1250 0.7500 0.8750
Hg: 0.1250 0.8750 0.2500
Hg: 0.2500 0.1250 0.8750
Hg: 0.2500 0.6250 0.3750
Hg: 0.3750 0.2500 0.6250
Hg: 0.3750 0.6250 0.7500
Hg: 0.5000 0.0000 0.0000
Hg: 0.5000 0.0000 0.5000
Hg: 0.5000 0.5000 0.0000
Hg: 0.5000 0.5000 0.5000
Hg: 0.6250 0.3750 0.2500
Hg: 0.6250 0.7500 0.3750
Hg: 0.7500 0.3750 0.6250
Hg: 0.7500 0.8750 0.1250
Hg: 0.8750 0.1250 0.7500
Hg: 0.8750 0.2500 0.1250
Au: 0.0732 0.2311 0.1470
Au: 0.0732 0.3421 0.9262
Au: 0.0738 0.6470 0.4159
Au: 0.0738 0.9268 0.6579
Au: 0.0841 0.7311 0.6579
Au: 0.0841 0.8530 0.4262
Au: 0.1470 0.0732 0.2311
Au: 0.1470 0.5738 0.9159
Au: 0.1579 0.2311 0.5841
Au: 0.1579 0.4268 0.5738
Au: 0.2311 0.1470 0.0732
Au: 0.2311 0.5841 0.1579
Au: 0.2689 0.3421 0.9159
Au: 0.2689 0.4268 0.3530
Au: 0.3421 0.9159 0.2689
Au: 0.3421 0.9262 0.0732
Au: 0.3530 0.2689 0.4268
Au: 0.3530 0.5841 0.9262
Au: 0.4159 0.0738 0.6470
Au: 0.4159 0.8421 0.7689
Au: 0.4262 0.0841 0.8530
Au: 0.4262 0.8421 0.5732
Au: 0.4268 0.3530 0.2689
Au: 0.4268 0.5738 0.1579
Au: 0.5732 0.4262 0.8421
Au: 0.5732 0.6470 0.7311
Au: 0.5738 0.1579 0.4268
Au: 0.5738 0.9159 0.1470
Au: 0.5841 0.1579 0.2311
Au: 0.5841 0.9262 0.3530
Au: 0.6470 0.4159 0.0738
Au: 0.6470 0.7311 0.5732
Au: 0.6579 0.0738 0.9268
Au: 0.6579 0.0841 0.7311
Au: 0.7311 0.5732 0.6470
Au: 0.7311 0.6579 0.0841
Au: 0.7689 0.4159 0.8421
Au: 0.7689 0.8530 0.9268
Au: 0.8421 0.5732 0.4262
Au: 0.8421 0.7689 0.4159
Au: 0.8530 0.4262 0.0841
Au: 0.8530 0.9268 0.7689
Au: 0.9159 0.1470 0.5738
Au: 0.9159 0.2689 0.3421
Au: 0.9262 0.0732 0.3421
Au: 0.9262 0.3530 0.5841
Au: 0.9268 0.6579 0.0738
Au: 0.9268 0.7689 0.8530

Properties
Volume (Å³ per atom): 26.9
E_form (eV per atom): 0.164
D(E_F) (states/eV/f.u.): 7.00
Energy (eV/atom): -2.479

Entry 3:
## SnHg2Au (PBE)

Data for crystalline SnHg2Au at its relaxed geometry.

Cell lengths 8.7836, 8.7836, 8.7836 Å; angles 24.08, 24.08, 24.08 degrees
Sites, in units of the cell vectors:
Sn: 0.0000 0.0000 0.0000
Hg: 0.2431 0.2431 0.2431
Hg: 0.4235 0.4235 0.4235
Au: 0.8332 0.8332 0.8332

Properties
Volume (Å³ per atom): 24.8
E_form (eV per atom): 0.102
D(E_F) (states/eV/f.u.): 1.82
Energy (eV/atom): -1.869

Entry 4:
## Sn2Hg2Au (PBE)

Data for crystalline Sn2Hg2Au at its relaxed geometry.

Cell lengths 7.1512, 7.1512, 5.2867 Å; angles 90.00, 90.00, 90.00 degrees
Sites, in units of the cell vectors:
Sn: 0.1463 0.3537 0.0000
Sn: 0.3537 0.8537 0.0000
Sn: 0.6463 0.1463 0.0000
Sn: 0.8537 0.6463 0.0000
Hg: 0.1848 0.6848 0.5000
Hg: 0.3152 0.1848 0.5000
Hg: 0.6848 0.8152 0.5000
Hg: 0.8152 0.3152 0.5000
Au: 0.0000 0.0000 0.0000
Au: 0.5000 0.5000 0.0000

Properties
Volume (Å³ per atom): 27.0
ΔE to the lowest computed polymorph (meV per atom): 55
E_form (eV per atom): 0.017
D(E_F) (states/eV/f.u.): 2.40
Energy (eV/atom): -2.360

Which of these has the highest E_form? Sn3Hg5Au12

E_form of number 3 (SnHg2Au)? 0.102 eV per atom

Which value of energy does entry 3 give? -1.869 eV/atom

volume of number 4 (Sn2Hg2Au)? 27.0 Å³ per atom